1.
DFT (PBE-GGA) results for a geometry-optimized LiZnCd2 structure.

Its symmetry is Immm (71). The formation energy from the elements is 0.06 eV/atom. The total magnetization is 0.00 μB per cell. The energy comes out at -1.198 eV per atom.

The structure in CIF format:
```
data_LiZnCd2
_chemical_formula_sum 'Li1 Zn1 Cd2'
_space_group_name_H-M_alt 'P 1'
_space_group_IT_number 1
_cell_length_a 6.7317
_cell_length_b 6.7317
_cell_length_c 6.7317
_cell_angle_alpha 155.03
_cell_angle_beta 136.59
_cell_angle_gamma 50.73
loop_
_space_group_symop_operation_xyz
'x,y,z'
loop_
_atom_site_label
_atom_site_type_symbol
_atom_site_fract_x
_atom_site_fract_y
_atom_site_fract_z
Li1 Li 0.0000 0.0000 0.0000
Zn1 Zn 0.5000 0.5000 0.0000
Cd1 Cd 0.2769 0.2769 0.0000
Cd2 Cd 0.7231 0.7231 0.0000
```

2.
DFT (PBE-GGA) results for a geometry-optimized Li12ZnCd7 structure.

Its symmetry is R-3 (148). The formation energy from the elements is -0.14 eV/atom. The total magnetization is 0.00 μB per cell. The energy comes out at -1.668 eV per atom.

The structure in CIF format:
```
data_Li12ZnCd7
_chemical_formula_sum 'Li12 Zn1 Cd7'
_space_group_name_H-M_alt 'P 1'
_space_group_IT_number 1
_cell_length_a 7.2021
_cell_length_b 7.2021
_cell_length_c 7.2021
_cell_angle_alpha 91.53
_cell_angle_beta 91.53
_cell_angle_gamma 91.53
loop_
_space_group_symop_operation_xyz
'x,y,z'
loop_
_atom_site_label
_atom_site_type_symbol
_atom_site_fract_x
_atom_site_fract_y
_atom_site_fract_z
Li1 Li 0.0119 0.8822 0.3548
Li2 Li 0.1178 0.6452 0.9881
Li3 Li 0.2412 0.3731 0.7540
Li4 Li 0.2460 0.7588 0.6269
Li5 Li 0.3548 0.0119 0.8822
Li6 Li 0.3731 0.7540 0.2412
Li7 Li 0.6269 0.2460 0.7588
Li8 Li 0.6452 0.9881 0.1178
Li9 Li 0.7540 0.2412 0.3731
Li10 Li 0.7588 0.6269 0.2460
Li11 Li 0.8822 0.3548 0.0119
Li12 Li 0.9881 0.1178 0.6452
Zn1 Zn 0.5000 0.5000 0.5000
Cd1 Cd 0.0000 0.0000 0.0000
Cd2 Cd 0.1144 0.4504 0.3414
Cd3 Cd 0.3414 0.1144 0.4504
Cd4 Cd 0.4504 0.3414 0.1144
Cd5 Cd 0.5496 0.6586 0.8856
Cd6 Cd 0.6586 0.8856 0.5496
Cd7 Cd 0.8856 0.5496 0.6586
```

no.,mass density (g cm⁻³)
1,5.60
2,4.16